[1]
DFT (PBE) results for a relaxed structure of Ac6Co2CBr3.

## Properties
- density of states at the Fermi level (states/eV/cell) = 5.166
- calculated density (g/cm3) = 7.718
- final energy (eV per cell) = -61.699
- formation energy from raw total energies (eV/atom) = -0.7162

Unit cell a=4.1599 b=9.5189 c=10.3781 alpha=111.80 beta=101.56 gamma=90.00
Closest atoms and distances in Å follow each position.
Fractional positions:
Ac: 0.3529 0.8889 0.7058  1 C 2.77, 2 Co 2.87
Ac: 0.6802 0.5492 0.3604  3 Co 2.88-2.95
Ac: 0.6471 0.1111 0.2942  1 C 2.77, 2 Co 2.87
Ac: 0.0125 0.2111 0.0249  2 C 2.84, 1 Co 2.84
Ac: 0.9875 0.7889 0.9751  2 C 2.84, 1 Co 2.84
Ac: 0.3198 0.4508 0.6396  3 Co 2.88-2.95
Co: 0.8367 0.6712 0.6735  6 Ac 2.84-2.95
Co: 0.1633 0.3288 0.3265  6 Ac 2.84-2.95
C: 0.5000 0.0000 0.0000  6 Ac 2.77-2.84
Br: 0.5000 0.5000 0.0000  6 Ac 3.51-3.53
Br: 0.8346 0.1645 0.6693  6 Ac 3.47-3.65
Br: 0.1654 0.8355 0.3307  6 Ac 3.47-3.65

[2]
DFT (PBE) results for a relaxed structure of Zr2InPd4.

## Properties
- ΔE_f (meV/atom) = -542
- density of states at the Fermi level (states/eV/cell) = 3.261
- calculated density (g/cm3) = 9.317
- final energy (eV per cell) = -44.402
- E above lowest polymorph (kJ/mol of formula units) = 30

Unit cell a=4.7219 b=4.7219 c=7.2081 alpha=70.88 beta=70.88 gamma=60.00
Closest atoms and distances in Å follow each position.
Fractional positions:
Zr: 0.7315 0.7315 0.8054  5 Pd 2.65-2.92
Zr: 0.2685 0.2685 0.1946  5 Pd 2.65-2.92
In: 0.0000 0.0000 0.0000  2 Pd 2.73, 6 Zr 3.02
Pd: 0.8637 0.8637 0.4090  1 Zr 2.65, 1 In 2.73, 3 Pd 2.94
Pd: 0.1363 0.1363 0.5910  1 Zr 2.65, 1 In 2.73, 3 Pd 2.94
Pd: 0.5859 0.5859 0.2424  4 Zr 2.74-2.92, 3 Pd 2.94
Pd: 0.4141 0.4141 0.7576  4 Zr 2.74-2.92, 3 Pd 2.94